No. 1
{"formula": "SnAs2Br", "functional": "PBE", "state": "optimized geometry", "cell": [[0.0000, 3.5499, 3.5499], [3.5499, 0.0000, 3.5499], [3.5499, 3.5499, 0.0000]], "species": ["Sn", "As", "As", "Br"], "frac_coords": [[0.0000, 0.0000, 0.0000], [0.2500, 0.2500, 0.2500], [0.7500, 0.7500, 0.7500], [0.5000, 0.5000, 0.5000]], "total_energy_ev_per_atom": -3.377, "polymorph_energy_ev_per_atom": 0.0421, "sg": "No. 225"}

---

No. 2
{"formula": "SnAs3Br", "functional": "PBE", "state": "optimized geometry", "cell": [[5.3098, 0.0000, 0.0000], [0.0000, 5.3098, 0.0000], [0.0000, 0.0000, 5.3098]], "species": ["Sn", "As", "As", "As", "Br"], "frac_coords": [[0.0000, 0.0000, 0.0000], [0.0000, 0.0000, 0.5000], [0.0000, 0.5000, 0.0000], [0.5000, 0.0000, 0.0000], [0.5000, 0.5000, 0.5000]], "total_energy_ev_per_atom": -3.013, "polymorph_energy_ev_per_atom": 0.0000, "sg": "No. 221"}